# TiIn2Cu

An optimized crystal structure of TiIn2Cu (PBE, the Alexandria database).

Cell: 4.734 4.734 4.734 Å, 60.00 60.00 60.00°
Fractional coordinates of all 4 atoms:
Ti 0.000 0.000 0.000
In 0.250 0.250 0.250
In 0.750 0.750 0.750
Cu 0.500 0.500 0.500

Values from the calculation:
symmetry = No. 225
formation energy from the elements = 0.137 eV/atom
calculated volume = 75.0 Å³/f.u.
uncorrected energy = -16.9 eV/cell